# 1
Entry from the Alexandria database: a geometry-optimized LiNi2PbF8 structure (GGA+U).

Computed properties:
Crystal system: monoclinic
Spin magnetization (μB/cell): 3.268
Total energy (eV per atom): -4.37

Unit cell a=4.9324 b=6.4024 c=4.9592 alpha=90.00 beta=91.17 gamma=90.00
Closest atoms and distances in Å follow each position.
Positions (direct):
1 Li 0.0000 0.0000 0.0000  6 F 2.07-2.19
2 Ni 0.5000 0.2314 0.5000  6 F 2.00-2.12
3 Ni 0.5000 0.7686 0.5000  6 F 2.00-2.12
4 Pb 0.0000 0.5000 0.0000  6 F 2.25-2.30
5 F 0.2124 0.2319 0.2060  1 Ni 2.01, 1 Li 2.07, 1 Pb 2.25
6 F 0.2124 0.7681 0.2060  1 Ni 2.01, 1 Li 2.07, 1 Pb 2.25
7 F 0.3066 0.0000 0.6877  2 Ni 2.00, 1 Li 2.19
8 F 0.3214 0.5000 0.6718  2 Ni 2.12, 1 Pb 2.30
9 F 0.6786 0.5000 0.3282  2 Ni 2.12, 1 Pb 2.30
10 F 0.6934 0.0000 0.3123  2 Ni 2.00, 1 Li 2.19
11 F 0.7876 0.2319 0.7940  1 Ni 2.01, 1 Li 2.07, 1 Pb 2.25
12 F 0.7876 0.7681 0.7940  1 Ni 2.01, 1 Li 2.07, 1 Pb 2.25

---

# 2
Entry from the Alexandria database: a geometry-optimized LiNiPdF6 structure (GGA+U).

Computed properties:
Crystal system: tetragonal
Spin magnetization (μB/cell): 6.006
Total energy (eV per atom): -4.25

Unit cell a=4.6789 b=4.6789 c=9.6350 alpha=90.00 beta=90.00 gamma=90.00
Closest atoms and distances in Å follow each position.
Positions (direct):
1 Li 0.0000 0.0000 0.0000  6 F 2.00-2.14
2 Li 0.5000 0.5000 0.5000  6 F 2.00-2.14
3 Ni 0.0000 0.0000 0.6595  6 F 1.98-2.09
4 Ni 0.5000 0.5000 0.1595  6 F 1.98-2.09
5 Pd 0.0000 0.0000 0.3279  6 F 1.98-2.11
6 Pd 0.5000 0.5000 0.8279  6 F 1.98-2.11
7 F 0.1985 0.1985 0.4997  1 Li 2.00, 1 Ni 2.02, 1 Pd 2.11
8 F 0.2005 0.2005 0.1579  1 Ni 1.98, 1 Li 2.02, 1 Pd 2.11
9 F 0.2009 0.2009 0.8264  1 Pd 1.98, 1 Ni 2.09, 1 Li 2.14
10 F 0.2991 0.7009 0.3264  1 Pd 1.98, 1 Ni 2.09, 1 Li 2.14
11 F 0.2995 0.7005 0.6579  1 Ni 1.98, 1 Li 2.02, 1 Pd 2.11
12 F 0.3015 0.6985 0.9997  1 Li 2.00, 1 Ni 2.02, 1 Pd 2.11
13 F 0.6985 0.3015 0.9997  1 Li 2.00, 1 Ni 2.02, 1 Pd 2.11
14 F 0.7005 0.2995 0.6579  1 Ni 1.98, 1 Li 2.02, 1 Pd 2.11
15 F 0.7009 0.2991 0.3264  1 Pd 1.98, 1 Ni 2.09, 1 Li 2.14
16 F 0.7991 0.7991 0.8264  1 Pd 1.98, 1 Ni 2.09, 1 Li 2.14
17 F 0.7995 0.7995 0.1579  1 Ni 1.98, 1 Li 2.02, 1 Pd 2.11
18 F 0.8015 0.8015 0.4997  1 Li 2.00, 1 Ni 2.02, 1 Pd 2.11

---

# 3
Entry from the Alexandria database: a geometry-optimized LiPmNiF6 structure (GGA+U).

Computed properties:
Crystal system: tetragonal
Spin magnetization (μB/cell): 3.826
Total energy (eV per atom): -5.42

Unit cell a=4.9885 b=4.9885 c=9.8163 alpha=90.00 beta=90.00 gamma=90.00
Closest atoms and distances in Å follow each position.
Positions (direct):
1 Li 0.0000 0.0000 0.0000  6 F 2.07-2.20
2 Li 0.5000 0.5000 0.5000  6 F 2.07-2.20
3 Pm 0.0000 0.0000 0.6633  6 F 2.26-2.28
4 Pm 0.5000 0.5000 0.1633  6 F 2.26-2.28
5 Ni 0.0000 0.0000 0.3289  6 F 2.03-2.06
6 Ni 0.5000 0.5000 0.8289  6 F 2.03-2.06
7 F 0.1797 0.1797 0.1666  1 Ni 2.04, 1 Li 2.07, 1 Pm 2.26
8 F 0.2008 0.2008 0.4809  1 Ni 2.06, 1 Li 2.12, 1 Pm 2.28
9 F 0.2127 0.2127 0.8365  1 Ni 2.03, 1 Li 2.20, 1 Pm 2.27
10 F 0.2873 0.7127 0.3365  1 Ni 2.03, 1 Li 2.20, 1 Pm 2.27
11 F 0.2992 0.7008 0.9809  1 Ni 2.06, 1 Li 2.12, 1 Pm 2.28
12 F 0.3203 0.6797 0.6666  1 Ni 2.04, 1 Li 2.07, 1 Pm 2.26
13 F 0.6797 0.3203 0.6666  1 Ni 2.04, 1 Li 2.07, 1 Pm 2.26
14 F 0.7008 0.2992 0.9809  1 Ni 2.06, 1 Li 2.12, 1 Pm 2.28
15 F 0.7127 0.2873 0.3365  1 Ni 2.03, 1 Li 2.20, 1 Pm 2.27
16 F 0.7873 0.7873 0.8365  1 Ni 2.03, 1 Li 2.20, 1 Pm 2.27
17 F 0.7992 0.7992 0.4809  1 Ni 2.06, 1 Li 2.12, 1 Pm 2.28
18 F 0.8203 0.8203 0.1666  1 Ni 2.04, 1 Li 2.07, 1 Pm 2.26

---

# 4
Entry from the Alexandria database: a geometry-optimized Li2PmNiF8 structure (GGA+U).

Computed properties:
Crystal system: triclinic
Spin magnetization (μB/cell): 3.003
Total energy (eV per atom): -5.03

Unit cell a=4.4863 b=4.8716 c=6.8794 alpha=86.31 beta=89.70 gamma=87.30
Closest atoms and distances in Å follow each position.
Positions (direct):
1 Li 0.0280 0.0273 0.2897  5 F 1.97-2.15
2 Li 0.9720 0.9727 0.7103  5 F 1.97-2.15
3 Pm 0.5000 0.5000 0.0000  6 F 2.21-2.35
4 Ni 0.5000 0.5000 0.5000  6 F 1.88-1.97
5 F 0.1246 0.2221 0.0387  1 Li 1.97
6 F 0.2009 0.2429 0.5075  1 Ni 1.88, 1 Li 2.06
7 F 0.3199 0.7085 0.7061  1 Ni 1.95, 1 Li 1.98
8 F 0.3237 0.7185 0.2752  1 Li 1.97, 1 Ni 1.97
9 F 0.6763 0.2815 0.7248  1 Li 1.97, 1 Ni 1.97
10 F 0.6801 0.2915 0.2939  1 Ni 1.95, 1 Li 1.98
11 F 0.7991 0.7571 0.4925  1 Ni 1.88, 1 Li 2.06
12 F 0.8754 0.7779 0.9613  1 Li 1.97

---

# 5
Entry from the Alexandria database: a geometry-optimized Li2PuNiF8 structure (GGA+U).

Computed properties:
Crystal system: triclinic
Spin magnetization (μB/cell): 6.000
Total energy (eV per atom): -5.90

Unit cell a=4.7767 b=4.7855 c=6.6787 alpha=89.72 beta=89.75 gamma=89.91
Closest atoms and distances in Å follow each position.
Positions (direct):
1 Li 0.0023 0.0022 0.3011  4 F 1.95-2.04
2 Li 0.9977 0.9978 0.6989  4 F 1.95-2.04
3 Pu 0.5000 0.5000 0.0000  6 F 2.10-2.20
4 Ni 0.5000 0.5000 0.5000  6 F 1.96-2.11
5 F 0.1878 0.1909 0.0037  1 Pu 2.10, 1 Li 2.35
6 F 0.2100 0.2110 0.5007  2 Li 1.95, 1 Ni 1.96
7 F 0.2984 0.7013 0.7416  1 Li 2.04, 1 Ni 2.11, 1 Pu 2.20
8 F 0.2996 0.7026 0.2582  1 Li 2.04, 1 Ni 2.11, 1 Pu 2.20
9 F 0.7004 0.2974 0.7418  1 Li 2.04, 1 Ni 2.11, 1 Pu 2.20
10 F 0.7016 0.2987 0.2584  1 Li 2.04, 1 Ni 2.11, 1 Pu 2.20
11 F 0.7900 0.7890 0.4993  2 Li 1.95, 1 Ni 1.96
12 F 0.8122 0.8091 0.9963  1 Pu 2.10, 1 Li 2.35

---

# 6
Entry from the Alexandria database: a geometry-optimized Rb2LiNiF6 structure (GGA+U).

Computed properties:
Crystal system: cubic
Spin magnetization (μB/cell): 1.000
Total energy (eV per atom): -4.17

Unit cell a=5.8379 b=5.8379 c=5.8379 alpha=60.00 beta=60.00 gamma=60.00
Closest atoms and distances in Å follow each position.
Positions (direct):
1 Rb 0.2500 0.2500 0.2500  12 F 2.92
2 Rb 0.7500 0.7500 0.7500  12 F 2.92
3 Li 0.0000 0.0000 0.0000  6 F 2.18
4 Ni 0.5000 0.5000 0.5000  6 F 1.95
5 F 0.2640 0.2640 0.7360  1 Ni 1.95, 1 Li 2.18
6 F 0.2640 0.7360 0.2640  1 Ni 1.95, 1 Li 2.18
7 F 0.2640 0.7360 0.7360  1 Ni 1.95, 1 Li 2.18
8 F 0.7360 0.2640 0.2640  1 Ni 1.95, 1 Li 2.18
9 F 0.7360 0.2640 0.7360  1 Ni 1.95, 1 Li 2.18
10 F 0.7360 0.7360 0.2640  1 Ni 1.95, 1 Li 2.18

---

# 7
Entry from the Alexandria database: a geometry-optimized Rb3LiNi2F9 structure (GGA+U).

Computed properties:
Crystal system: trigonal
Spin magnetization (μB/cell): 2.996
Total energy (eV per atom): -4.20

Unit cell a=5.8228 b=5.8228 c=7.1608 alpha=90.00 beta=90.00 gamma=120.00
Closest atoms and distances in Å follow each position.
Positions (direct):
1 Rb 0.0000 0.0000 0.0000  12 F 2.88-2.91
2 Rb 0.3333 0.6667 0.6562  12 F 2.90-2.98
3 Rb 0.6667 0.3333 0.3438  12 F 2.90-2.98
4 Li 0.0000 0.0000 0.5000  6 F 2.17
5 Ni 0.3333 0.6667 0.1655  6 F 1.96-2.06
6 Ni 0.6667 0.3333 0.8345  6 F 1.96-2.06
7 F 0.0000 0.5000 0.0000  2 Ni 2.06
8 F 0.1732 0.3465 0.3200  1 Ni 1.96, 1 Li 2.17
9 F 0.1732 0.8268 0.3200  1 Ni 1.96, 1 Li 2.17
10 F 0.3465 0.1732 0.6800  1 Ni 1.96, 1 Li 2.17
11 F 0.5000 0.0000 0.0000  2 Ni 2.06
12 F 0.5000 0.5000 0.0000  2 Ni 2.06
13 F 0.6535 0.8268 0.3200  1 Ni 1.96, 1 Li 2.17
14 F 0.8268 0.1732 0.6800  1 Ni 1.96, 1 Li 2.17
15 F 0.8268 0.6535 0.6800  1 Ni 1.96, 1 Li 2.17

---

# 8
Entry from the Alexandria database: a geometry-optimized Rb3Li2NiF9 structure (GGA+U).

Computed properties:
Crystal system: trigonal
Spin magnetization (μB/cell): 0.048
Total energy (eV per atom): -4.16

Unit cell a=5.9958 b=5.9958 c=7.5609 alpha=90.00 beta=90.00 gamma=120.00
Closest atoms and distances in Å follow each position.
Positions (direct):
1 Rb 0.0000 0.0000 0.0000  12 F 3.00-3.11
2 Rb 0.3333 0.6667 0.6763  12 F 3.00-3.09, 1 Li 3.07
3 Rb 0.6667 0.3333 0.3237  12 F 3.00-3.09, 1 Li 3.07
4 Li 0.3333 0.6667 0.0818  3 F 1.84
5 Li 0.6667 0.3333 0.9182  3 F 1.84
6 Ni 0.0000 0.0000 0.5000  6 F 1.81
7 F 0.0000 0.5000 0.0000  2 Li 1.84
8 F 0.1425 0.2849 0.3624  1 Ni 1.81
9 F 0.1425 0.8575 0.3624  1 Ni 1.81
10 F 0.2849 0.1425 0.6376  1 Ni 1.81
11 F 0.5000 0.0000 0.0000  2 Li 1.84
12 F 0.5000 0.5000 0.0000  2 Li 1.84
13 F 0.7151 0.8575 0.3624  1 Ni 1.81
14 F 0.8575 0.1425 0.6376  1 Ni 1.81
15 F 0.8575 0.7151 0.6376  1 Ni 1.81